No. 1
The following is a DFT calculation (PBE-GGA) of crystalline Pr6HoTm at its relaxed geometry.

Unit cell a=6.330 b=6.330 c=8.209 alpha=105.25 beta=105.25 gamma=108.52
Fractional coordinates of all 8 atoms:
Pr  0.623  0.123  0.245
Pr  0.877  0.377  0.755
Pr  0.250  0.250  0.501
Pr  0.123  0.623  0.245
Pr  0.377  0.877  0.755
Pr  0.750  0.750  0.499
Ho  0.000  0.000  0.000
Tm  0.500  0.500  0.000

Results
* E_form: 18 meV/atom


No. 2
The following is a DFT calculation (PBE-GGA) of crystalline Pr3Ho2Tm3 at its relaxed geometry.

Unit cell a=5.704 b=6.022 c=8.662 alpha=108.98 beta=109.22 gamma=90.00
Fractional coordinates of all 8 atoms:
Pr  0.364  0.799  0.729
Pr  0.500  0.500  0.000
Pr  0.636  0.201  0.271
Ho  0.750  0.819  0.500
Ho  0.250  0.181  0.500
Tm  0.867  0.418  0.734
Tm  0.133  0.582  0.266
Tm  0.000  0.000  0.000

Results
* E_form: 89 meV/atom


No. 3
The following is a DFT calculation (PBE-GGA) of crystalline Pr7Ho4Tm at its relaxed geometry.

Unit cell a=7.253 b=6.290 c=13.075 alpha=76.36 beta=46.18 gamma=90.06
Fractional coordinates of all 12 atoms:
Pr  0.752  0.497  0.001
Pr  0.248  0.503  0.999
Pr  0.171  0.002  0.665
Pr  0.829  0.998  0.335
Pr  0.921  0.505  0.664
Pr  0.500  0.000  0.000
Pr  0.079  0.495  0.336
Ho  0.583  0.503  0.334
Ho  0.417  0.497  0.666
Ho  0.664  0.999  0.667
Ho  0.336  0.001  0.333
Tm  0.000  0.000  0.000

Results
* E_form: 21 meV/atom


So what do the calculations give for E above lowest polymorph? Going down the list: 4.3, 0.0, 0.0 meV/atom.
So what do the calculations give for ρ? Going down the list: 7033, 7930, 7412 kg/m3.